The following is a DFT calculation (PBE) of crystalline LiLa2Sc at its relaxed geometry.

Summary:
- Final energy: -17.3 eV per formula unit
- Symmetry: I-4m2 (119)

Structure (POSCAR):
```
LiLa2Sc
1.0
-4.352 3.739 2.259
-4.697 -3.016 2.619
6.136 -0.285 0.540
La Li Sc
2 1 1
Direct
0.000 0.000 0.000
0.250 0.750 0.500
0.500 0.500 0.000
0.750 0.250 0.500
```

=====

The following is a DFT calculation (PBE) of crystalline CaIrN2F at its relaxed geometry.

Summary:
- Formation energy from raw total energies: -280 kJ/mol of formula units
- Symmetry: P4/mmm (123)

Structure (POSCAR):
```
CaIrN2F
1.0
3.736 0.000 0.000
0.000 3.736 0.000
0.000 0.000 5.568
N Ca Ir F
2 1 1 1
Direct
0.000 0.500 0.000
0.500 0.000 0.000
0.500 0.500 0.500
0.000 0.000 0.000
0.000 0.000 0.500
```

=====

The following is a DFT calculation (PBE) of crystalline ZrSc4P5 at its relaxed geometry.

Summary:
- Final energy: -75.7 eV per formula unit
- Symmetry: Immm (71)

Structure (POSCAR):
```
ZrSc4P5
1.0
3.677 0.000 -0.709
-0.273 5.100 -1.416
0.010 0.005 9.937
Zr Sc P
1 4 5
Direct
0.000 0.000 0.000
0.399 0.399 0.799
0.800 0.800 0.600
0.200 0.200 0.400
0.601 0.601 0.201
0.600 0.100 0.201
0.800 0.300 0.600
0.200 0.700 0.400
0.000 0.500 0.000
0.400 0.900 0.799
```

=====

The following is a DFT calculation (PBE) of crystalline ZnPd2Pt2 at its relaxed geometry.

Summary:
- Final energy: -23.6 eV per formula unit
- Symmetry: P4/mbm (127)

Structure (POSCAR):
```
ZnPd2Pt2
1.0
6.560 0.000 0.000
0.000 6.560 0.000
0.000 0.000 3.823
Zn Pd Pt
2 4 4
Direct
0.000 0.000 0.000
0.500 0.500 0.000
0.352 0.852 0.000
0.852 0.648 0.000
0.648 0.148 0.000
0.148 0.352 0.000
0.151 0.651 0.500
0.651 0.849 0.500
0.849 0.349 0.500
0.349 0.151 0.500
```

=====

The following is a DFT calculation (PBE) of crystalline ZrBe9Ru2 at its relaxed geometry.

Summary:
- Final energy: -64.6 eV per formula unit
- Symmetry: P6_3/mmc (194)

Structure (POSCAR):
```
ZrBe9Ru2
1.0
4.423 0.000 0.000
-2.212 3.831 0.000
0.000 0.000 13.976
Zr Be Ru
2 18 4
Direct
0.333 0.667 0.750
0.667 0.333 0.250
0.000 0.000 0.000
0.000 0.000 0.500
0.000 0.000 0.250
0.000 0.000 0.750
0.333 0.667 0.250
0.667 0.333 0.750
0.170 0.340 0.119
0.660 0.830 0.119
0.170 0.830 0.119
0.830 0.660 0.619
0.340 0.170 0.619
0.830 0.170 0.619
0.340 0.170 0.881
0.830 0.660 0.881
0.830 0.170 0.881
0.660 0.830 0.381
0.170 0.340 0.381
0.170 0.830 0.381
0.333 0.667 0.537
0.667 0.333 0.037
0.667 0.333 0.463
0.333 0.667 0.963
```

=====

The following is a DFT calculation (PBE) of crystalline ZrCo2Rh4 at its relaxed geometry.

Summary:
- Final energy: -45.3 eV per formula unit
- Symmetry: I4/mmm (139)

Structure (POSCAR):
```
ZrCo2Rh4
1.0
-0.717 3.816 2.796
-4.617 -1.181 0.428
-1.386 -1.954 6.407
Co Rh Zr
2 4 1
Direct
0.594 0.594 0.812
0.406 0.406 0.188
0.789 0.789 0.423
0.211 0.211 0.577
0.000 0.500 0.000
0.500 0.000 0.000
0.000 0.000 0.000
```

=====

The following is a DFT calculation (PBE) of crystalline Sc4MnPbSe8 at its relaxed geometry.

Summary:
- Formation energy from raw total energies: -1709 kJ/mol of formula units
- Symmetry: R3m (160)

Structure (POSCAR):
```
Sc4MnPbSe8
1.0
8.066 0.000 0.000
4.033 6.985 0.000
4.033 2.328 6.503
Sc Mn Pb Se
4 1 1 8
Direct
0.626 0.626 0.123
0.006 0.472 0.515
0.472 0.006 0.515
0.006 0.006 0.515
0.987 0.987 0.039
0.459 0.459 0.624
0.220 0.785 0.776
0.785 0.220 0.776
0.220 0.220 0.776
0.240 0.240 0.279
0.748 0.226 0.279
0.226 0.748 0.279
0.748 0.748 0.279
0.758 0.758 0.726
```

=====

The following is a DFT calculation (PBE) of crystalline Cs6K23Mg at its relaxed geometry.

Summary:
- Final energy: -30.9 eV per formula unit
- Symmetry: Fm-3m (225)

Structure (POSCAR):
```
Cs6K23Mg
1.0
13.021 0.000 7.518
4.340 12.276 7.518
0.000 0.000 15.035
Cs K Mg
6 23 1
Direct
0.699 0.699 0.301
0.301 0.301 0.699
0.699 0.301 0.301
0.301 0.699 0.699
0.699 0.301 0.699
0.301 0.699 0.301
0.644 0.119 0.119
0.356 0.881 0.881
0.119 0.119 0.644
0.119 0.119 0.119
0.881 0.881 0.356
0.881 0.881 0.881
0.119 0.644 0.119
0.881 0.356 0.881
0.500 0.500 0.000
0.000 0.000 0.500
0.500 0.000 0.000
0.000 0.500 0.500
0.500 0.000 0.500
0.000 0.500 0.000
0.010 0.330 0.330
0.990 0.670 0.670
0.330 0.330 0.010
0.330 0.330 0.330
0.670 0.670 0.990
0.670 0.670 0.670
0.330 0.010 0.330
0.670 0.990 0.670
0.000 0.000 0.000
0.500 0.500 0.500
```

=====

| no. | size of the total moment (μB per cell) |
| --- | --- |
| 1 | 0.0 |
| 2 | 0.0 |
| 3 | 0.0 |
| 4 | 0.0 |
| 5 | 0.0 |
| 6 | 5.7 |
| 7 | 5.0 |
| 8 | 0.0 |